Hf6TlGa | PBE | relaxed

Output
* SG: C2/m
* volume: 22.93 A^3/atom
* VASP energy: -7.797 eV per atom

Geometry as POSCAR:
```
Hf6TlGa
1.0
6.287 -0.560 -0.658
-2.859 5.627 -0.658
-1.206 -1.783 5.894
Hf Tl Ga
6 1 1
direct
0.258 0.258 0.740
0.482 0.029 0.257
0.742 0.742 0.260
0.971 0.518 0.743
0.518 0.971 0.743
0.029 0.482 0.257
0.000 0.000 0.000
0.500 0.500 0.500
```

=====

HfTl3Ga | PBE | relaxed

Output
* energy relative to the lowest polymorph listed for this composition: 0.0000 eV/atom
* SG: Pm-3m
* volume: 35.77 A^3/atom
* VASP energy: -3.410 eV per atom

Geometry as POSCAR:
```
HfTl3Ga
1.0
5.634 0.000 0.000
0.000 5.634 0.000
0.000 0.000 5.634
Tl Hf Ga
3 1 1
direct
0.000 0.500 0.000
0.000 0.000 0.500
0.500 0.000 0.000
0.000 0.000 0.000
0.500 0.500 0.500
```

=====

Hf8TlGa2 | PBE | relaxed

Output
* SG: C2/m
* volume: 21.95 A^3/atom
* VASP energy: -8.026 eV per atom

Geometry as POSCAR:
```
Hf8TlGa2
1.0
-3.287 -3.030 -2.729
4.867 -5.058 2.266
-4.589 2.600 5.156
Hf Tl Ga
8 1 2
direct
0.878 0.916 0.677
0.878 0.677 0.916
0.300 0.586 0.586
0.500 0.758 0.242
0.500 0.242 0.758
0.700 0.414 0.414
0.122 0.323 0.084
0.122 0.084 0.323
0.500 0.000 0.000
0.000 0.306 0.694
0.000 0.694 0.306
```

=====

| no. | DOS(E_F) (states/eV/cell) | DFT formation energy (kcal/mol of atoms) |
| --- | --- | --- |
| 1 | 9.68 | 7.89 |
| 2 | 4.55 | 13.96 |
| 3 | 10.98 | -0.51 |